1.
# PBE RbCaBr3, optimized geometry
# Calculated volume ... 46.236 A^3/atom
# Crystal system ... trigonal
data_RbCaBr3
_space_group_name_H-M_alt 'R -3 c'
_space_group_IT_number 167
_space_group_name_Hall '-R 3 2"c'
_cell_length_a 8.5265
_cell_length_b 8.5265
_cell_length_c 22.0309
_cell_angle_alpha 90.00
_cell_angle_beta 90.00
_cell_angle_gamma 120.00
loop_
_atom_site_label
_atom_site_fract_x
_atom_site_fract_y
_atom_site_fract_z
Rb1 0.0000 0.0000 0.0000
Ca1 0.0000 0.0000 0.2500
Br1 0.0000 0.3198 0.2500

=====

2.
# PBE RbCaBr2, optimized geometry
# Calculated volume ... 46.945 A^3/atom
# Crystal system ... trigonal
data_RbCaBr2
_space_group_name_H-M_alt 'R -3 m'
_space_group_IT_number 166
_space_group_name_Hall '-R 3 2"'
_cell_length_a 4.4648
_cell_length_b 4.4648
_cell_length_c 32.6318
_cell_angle_alpha 90.00
_cell_angle_beta 90.00
_cell_angle_gamma 120.00
loop_
_atom_site_label
_atom_site_fract_x
_atom_site_fract_y
_atom_site_fract_z
Rb1 0.0000 0.0000 0.0000
Ca1 0.0000 0.0000 0.5000
Br1 0.0000 0.0000 0.1210

=====

3.
# PBE Rb3Ca2Br7, optimized geometry
# Calculated volume ... 38.991 A^3/atom
# Crystal system ... orthorhombic
data_Rb3Ca2Br7
_space_group_name_H-M_alt 'C m m m'
_space_group_IT_number 65
_space_group_name_Hall '-C 2 2'
_cell_length_a 5.755
_cell_length_b 28.814
_cell_length_c 5.644
_cell_angle_alpha 90.00
_cell_angle_beta 90.00
_cell_angle_gamma 90.00
loop_
_atom_site_label
_atom_site_fract_x
_atom_site_fract_y
_atom_site_fract_z
Rb1 0.000 0.000 0.000
Rb2 0.000 0.180 0.000
Ca1 0.000 0.399 0.500
Br1 0.000 0.097 0.500
Br2 0.000 0.300 0.500
Br3 0.000 0.402 0.000
Br4 0.000 0.500 0.500

=====

4.
# PBE Rb3Ca2Br7, optimized geometry
# Calculated volume ... 39.200 A^3/atom
# Crystal system ... tetragonal
data_Rb3Ca2Br7
_space_group_name_H-M_alt 'I 4/m m m'
_space_group_IT_number 139
_space_group_name_Hall '-I 4 2'
_cell_length_a 5.723
_cell_length_b 5.723
_cell_length_c 28.727
_cell_angle_alpha 90.00
_cell_angle_beta 90.00
_cell_angle_gamma 90.00
loop_
_atom_site_label
_atom_site_fract_x
_atom_site_fract_y
_atom_site_fract_z
Rb1 0.000 0.000 0.000
Rb2 0.000 0.000 0.182
Ca1 0.000 0.000 0.399
Br1 0.000 0.000 0.300
Br2 0.000 0.000 0.500
Br3 0.000 0.500 0.097

=====

5.
# PBE Rb2CaRhBr6, optimized geometry
# Calculated volume ... 32.921 A^3/atom
# Crystal system ... tetragonal
data_Rb2CaRhBr6
_space_group_name_H-M_alt 'I 4/m m m'
_space_group_IT_number 139
_space_group_name_Hall '-I 4 2'
_cell_length_a 7.797
_cell_length_b 7.797
_cell_length_c 10.830
_cell_angle_alpha 90.00
_cell_angle_beta 90.00
_cell_angle_gamma 90.00
loop_
_atom_site_label
_atom_site_fract_x
_atom_site_fract_y
_atom_site_fract_z
Rb1 0.000 0.500 0.250
Ca1 0.000 0.000 0.000
Rh1 0.000 0.000 0.500
Br1 0.000 0.000 0.266
Br2 0.240 0.240 0.500

=====

6.
# PBE RbCaSBr2, optimized geometry
# Calculated volume ... 38.457 A^3/atom
# Crystal system ... tetragonal
data_RbCaSBr2
_space_group_name_H-M_alt 'P 4/m m m'
_space_group_IT_number 123
_space_group_name_Hall '-P 4 2'
_cell_length_a 5.987
_cell_length_b 5.987
_cell_length_c 5.365
_cell_angle_alpha 90.00
_cell_angle_beta 90.00
_cell_angle_gamma 90.00
loop_
_atom_site_label
_atom_site_fract_x
_atom_site_fract_y
_atom_site_fract_z
Rb1 0.000 0.000 0.000
Ca1 0.500 0.500 0.500
S1 0.000 0.000 0.500
Br1 0.000 0.500 0.000

=====

7.
# PBE Rb2CaSBr6, optimized geometry
# Calculated volume ... 37.967 A^3/atom
# Crystal system ... tetragonal
data_Rb2CaSBr6
_space_group_name_H-M_alt 'I 4/m m m'
_space_group_IT_number 139
_space_group_name_Hall '-I 4 2'
_cell_length_a 7.626
_cell_length_b 7.626
_cell_length_c 13.055
_cell_angle_alpha 90.00
_cell_angle_beta 90.00
_cell_angle_gamma 90.00
loop_
_atom_site_label
_atom_site_fract_x
_atom_site_fract_y
_atom_site_fract_z
Rb1 0.000 0.500 0.250
Ca1 0.000 0.000 0.000
S1 0.000 0.000 0.500
Br1 0.000 0.000 0.215
Br2 0.230 0.230 0.500

=====

8.
# PBE RbCaSbBr6, optimized geometry
# Calculated volume ... 41.166 A^3/atom
# Crystal system ... trigonal
data_RbCaSbBr6
_space_group_name_H-M_alt 'P 3 1 2'
_space_group_IT_number 149
_cell_length_a 7.4796
_cell_length_b 7.4796
_cell_length_c 7.6470
_cell_angle_alpha 90.00
_cell_angle_beta 90.00
_cell_angle_gamma 120.00
loop_
_space_group_symop_operation_xyz
'x,y,z'
'-y,x-y,z'
'-x+y,-x,z'
'-y,-x,-z'
'-x+y,y,-z'
'x,x-y,-z'
loop_
_atom_site_label
_atom_site_fract_x
_atom_site_fract_y
_atom_site_fract_z
Rb1 0.0000 0.0000 0.0000
Ca1 0.3333 0.6667 0.5000
Sb1 0.6667 0.3333 0.5000
Br1 0.3757 0.0080 0.7155

=====

We obtain Fermi-level density of states values of 0.0 6.6 0.0 0.0 5.8 1.2 0.0 0.0 states/eV per cell for the records listed above, in that order.
We obtain energy relative to the elements, uncorrected values of -8.8 -5.9 -22.4 -22.7 -13.0 -2.5 -11.8 -12.3 eV/f.u. for the records listed above, in that order.